# TaNiP2O | the Alexandria database | PBE+U | optimized geometry
data_TaNiP2O
_space_group_name_H-M_alt 'P 4/m m m'
_space_group_IT_number 123
_space_group_name_Hall '-P 4 2'
_cell_length_a 4.9449
_cell_length_b 4.9449
_cell_length_c 3.8277
_cell_angle_alpha 90.00
_cell_angle_beta 90.00
_cell_angle_gamma 90.00
loop_
_atom_site_label
_atom_site_type_symbol
_atom_site_fract_x
_atom_site_fract_y
_atom_site_fract_z
Ta1 Ta 0.0000 0.0000 0.0000
Ni1 Ni 0.5000 0.5000 0.5000
P1 P 0.0000 0.5000 0.0000
O1 O 0.0000 0.0000 0.5000
# **Energy above the most stable polymorph in this dataset**: 0 meV per atom
# **Spin magnetization**: 0.968 μB/cell